Below is crystalline RuPt2W at its relaxed geometry, with properties calculated at the GGA-PBEsol level.

POSCAR file:
```
RuPt2W
1.0
4.720 0.000 0.000
0.000 2.757 0.000
-1.564 0.000 4.491
Ru Pt W
1 2 1
Direct
0.000 0.000 0.000
0.000 0.500 0.500
0.500 0.000 0.500
0.500 0.500 0.000
```

Results
For the distance to the lowest polymorph of the same formula, the calculation gives 11.9 kJ/mol of atoms. The value obtained for the calculated total energy is -38.19 eV/cell. Its magnetic moment is 0.00 Bohr magnetons per cell. Its space group is P2/m (10). For the energy of formation from the pure elements, the calculation gives -70 meV per atom.